Record 1
The following is a PBE calculation of crystalline ScCuGeSeS2 at its relaxed geometry, from the Open Quantum Materials Database.

The volume is 19.33 Å³/atom. The value obtained for the electronic total energy is -125.14 eV for the cell shown.

It has space group Cmcm (No. 63), with a = 3.706 Å, b = 12.463 Å, c = 10.044 Å, α = 90.00°, β = 90.00° and γ = 90.00°. Symmetry generates all atoms from Sc at (0.000, 0.000, 0.000), Cu at (0.000, 0.467, 0.250), Ge at (0.000, 0.218, 0.750), Se at (0.000, 0.097, 0.250) and S at (0.000, 0.362, 0.064).

=====

Record 2
The following is a PBE calculation of crystalline Cu2GeSeS2 at its relaxed geometry, from the Open Quantum Materials Database.

The volume is 19.86 Å³/atom. The value obtained for the electronic total energy is -51.33 eV for the cell shown.

It has space group Imm2 (No. 44), with a = 3.869 Å, b = 11.374 Å, c = 5.415 Å, α = 90.00°, β = 90.00° and γ = 90.00°. Symmetry generates all atoms from Cu at (0.000, 0.176, 0.000), Ge at (0.000, 0.500, 0.943), Se at (0.000, 0.000, 0.733) and S at (0.000, 0.331, 0.726).

=====

Record 3
The following is a PBE calculation of crystalline SmCuGeSeS2 at its relaxed geometry, from the Open Quantum Materials Database.

The volume is 21.82 Å³/atom. The value obtained for the electronic total energy is -120.20 eV for the cell shown.

It has space group Cmcm (No. 63), with a = 3.851 Å, b = 12.698 Å, c = 10.710 Å, α = 90.00°, β = 90.00° and γ = 90.00°. Symmetry generates all atoms from Sm at (0.000, 0.000, 0.000), Cu at (0.000, 0.472, 0.250), Ge at (0.000, 0.215, 0.750), Se at (0.000, 0.098, 0.250) and S at (0.000, 0.357, 0.082).

=====

Record 4
The following is a PBE calculation of crystalline TbCuGeSeS2 at its relaxed geometry, from the Open Quantum Materials Database.

The volume is 21.32 Å³/atom. The value obtained for the electronic total energy is -120.14 eV for the cell shown.

It has space group Cmcm (No. 63), with a = 3.820 Å, b = 12.737 Å, c = 10.516 Å, α = 90.00°, β = 90.00° and γ = 90.00°. Symmetry generates all atoms from Tb at (0.000, 0.000, 0.000), Cu at (0.000, 0.472, 0.250), Ge at (0.000, 0.213, 0.750), Se at (0.000, 0.098, 0.250) and S at (0.000, 0.359, 0.078).

=====

Record 5
The following is a PBE calculation of crystalline TlCuGeSe2S at its relaxed geometry, from the Open Quantum Materials Database.

The volume is 22.36 Å³/atom. The value obtained for the electronic total energy is -91.85 eV for the cell shown.

It has space group Cmcm (No. 63), with a = 3.757 Å, b = 13.653 Å, c = 10.463 Å, α = 90.00°, β = 90.00° and γ = 90.00°. Symmetry generates all atoms from Tl at (0.000, 0.226, 0.250), Cu at (0.000, 0.071, 0.750), Ge at (0.000, 0.500, 0.000), Se at (0.000, 0.134, 0.534) and S at (0.000, 0.472, 0.750).

=====

Record 6
The following is a PBE calculation of crystalline TmCuGeSeS2 at its relaxed geometry, from the Open Quantum Materials Database.

The volume is 20.69 Å³/atom. The value obtained for the electronic total energy is -119.41 eV for the cell shown.

It has space group Cmcm (No. 63), with a = 3.789 Å, b = 12.664 Å, c = 10.346 Å, α = 90.00°, β = 90.00° and γ = 90.00°. Symmetry generates all atoms from Tm at (0.000, 0.000, 0.000), Cu at (0.000, 0.472, 0.250), Ge at (0.000, 0.214, 0.750), Se at (0.000, 0.098, 0.250) and S at (0.000, 0.360, 0.073).

=====

Record 7
The following is a PBE calculation of crystalline Sm3CuGeS7 at its relaxed geometry, from the Open Quantum Materials Database.

The volume is 21.34 Å³/atom. The value obtained for the electronic total energy is -137.76 eV for the cell shown.

It has space group P6_3 (No. 173), with a = 10.0652 Å, b = 10.0652 Å, c = 5.8383 Å, α = 90.00°, β = 90.00° and γ = 120.00°. Symmetry generates all atoms from Sm at (0.1302, 0.7734, 0.0000), Cu at (0.0000, 0.0000, 0.4558), Ge at (0.3333, 0.6667, 0.5823), S at (0.0948, 0.8389, 0.4733), S at (0.1011, 0.5199, 0.7401) and S at (0.3333, 0.6667, 0.2052).

=====

Record 8
The following is a PBE calculation of crystalline SmCuGeTe2S at its relaxed geometry, from the Open Quantum Materials Database.

The volume is 25.28 Å³/atom. The value obtained for the electronic total energy is -109.11 eV for the cell shown.

It has space group Cmcm (No. 63), with a = 4.057 Å, b = 14.427 Å, c = 10.365 Å, α = 90.00°, β = 90.00° and γ = 90.00°. Symmetry generates all atoms from Sm at (0.000, 0.000, 0.000), Cu at (0.000, 0.481, 0.250), Ge at (0.000, 0.238, 0.750), Te at (0.000, 0.344, 0.070) and S at (0.000, 0.067, 0.250).

=====

Record 9
The following is a PBE calculation of crystalline TbCuGeTeS2 at its relaxed geometry, from the Open Quantum Materials Database.

The volume is 23.27 Å³/atom. The value obtained for the electronic total energy is -116.49 eV for the cell shown.

It has space group Cmcm (No. 63), with a = 3.900 Å, b = 13.152 Å, c = 10.891 Å, α = 90.00°, β = 90.00° and γ = 90.00°. Symmetry generates all atoms from Tb at (0.000, 0.000, 0.000), Cu at (0.000, 0.477, 0.250), Ge at (0.000, 0.196, 0.750), Te at (0.000, 0.114, 0.250) and S at (0.000, 0.369, 0.082).

=====

Record 10
The following is a PBE calculation of crystalline TlCuGeTe2S at its relaxed geometry, from the Open Quantum Materials Database.

The volume is 25.57 Å³/atom. The value obtained for the electronic total energy is -86.68 eV for the cell shown.

It has space group Cmcm (No. 63), with a = 3.814 Å, b = 14.912 Å, c = 10.790 Å, α = 90.00°, β = 90.00° and γ = 90.00°. Symmetry generates all atoms from Tl at (0.000, 0.219, 0.250), Cu at (0.000, 0.039, 0.750), Ge at (0.000, 0.500, 0.000), Te at (0.000, 0.139, 0.548) and S at (0.000, 0.458, 0.750).

=====

Record 11
The following is a PBE calculation of crystalline TmCuGeTeS2 at its relaxed geometry, from the Open Quantum Materials Database.

The volume is 22.57 Å³/atom. The value obtained for the electronic total energy is -115.64 eV for the cell shown.

It has space group Cmcm (No. 63), with a = 3.860 Å, b = 13.000 Å, c = 10.793 Å, α = 90.00°, β = 90.00° and γ = 90.00°. Symmetry generates all atoms from Tm at (0.000, 0.000, 0.000), Cu at (0.000, 0.472, 0.250), Ge at (0.000, 0.196, 0.750), Te at (0.000, 0.113, 0.250) and S at (0.000, 0.368, 0.076).

=====

Record 12
The following is a PBE calculation of crystalline TmCuGeTe2S at its relaxed geometry, from the Open Quantum Materials Database.

The volume is 24.24 Å³/atom. The value obtained for the electronic total energy is -108.07 eV for the cell shown.

It has space group Cmcm (No. 63), with a = 4.023 Å, b = 14.492 Å, c = 9.976 Å, α = 90.00°, β = 90.00° and γ = 90.00°. Symmetry generates all atoms from Tm at (0.000, 0.000, 0.000), Cu at (0.000, 0.481, 0.250), Ge at (0.000, 0.238, 0.750), Te at (0.000, 0.347, 0.062) and S at (0.000, 0.065, 0.250).

=====

Record 13
The following is a PBE calculation of crystalline YCuGeTe2S at its relaxed geometry, from the Open Quantum Materials Database.

The volume is 24.73 Å³/atom. The value obtained for the electronic total energy is -116.33 eV for the cell shown.

It has space group Cmcm (No. 63), with a = 4.042 Å, b = 14.469 Å, c = 10.148 Å, α = 90.00°, β = 90.00° and γ = 90.00°. Symmetry generates all atoms from Y at (0.000, 0.000, 0.000), Cu at (0.000, 0.480, 0.250), Ge at (0.000, 0.239, 0.750), Te at (0.000, 0.345, 0.065) and S at (0.000, 0.066, 0.250).

=====

Record 14
The following is a PBE calculation of crystalline ZnCu2GeTeS3 at its relaxed geometry, from the Open Quantum Materials Database.

The volume is 21.13 Å³/atom. The value obtained for the electronic total energy is -63.33 eV for the cell shown.

It has space group Cm (No. 8), with a = 7.873 Å, b = 7.752 Å, c = 6.760 Å, α = 90.00°, β = 124.98° and γ = 90.00°. Symmetry generates all atoms from Zn at (0.000, 0.000, 0.000), Cu at (0.007, 0.278, 0.542), Ge at (0.476, 0.000, 0.009), Te at (0.377, 0.500, 0.290), S at (0.363, 0.241, 0.759) and S at (0.369, 0.000, 0.262).

=====

Record 15
The following is a PBE calculation of crystalline ZnCu2GeTe3S at its relaxed geometry, from the Open Quantum Materials Database.

The volume is 25.61 Å³/atom. The value obtained for the electronic total energy is -57.45 eV for the cell shown.

It has space group Cm (No. 8), with a = 8.338 Å, b = 8.400 Å, c = 7.148 Å, α = 90.00°, β = 125.06° and γ = 90.00°. Symmetry generates all atoms from Zn at (0.000, 0.000, 0.000), Cu at (0.036, 0.275, 0.539), Ge at (0.041, 0.500, 0.005), Te at (0.148, 0.000, 0.743), Te at (0.159, 0.250, 0.281) and S at (0.147, 0.500, 0.761).

=====

Record 16
The following is a PBE calculation of crystalline TlCu3GeS4 at its relaxed geometry, from the Open Quantum Materials Database.

The volume is 20.97 Å³/atom. The value obtained for the electronic total energy is -73.84 eV for the cell shown.

It has space group P2_1/m (No. 11), with a = 5.716 Å, b = 7.215 Å, c = 9.521 Å, α = 90.00°, β = 106.05° and γ = 90.00°. Symmetry generates all atoms from Tl at (0.174, 0.250, 0.386), Cu at (0.305, 0.562, 0.031), Cu at (0.442, 0.750, 0.278), Ge at (0.117, 0.250, 0.783), S at (0.031, 0.250, 0.003), S at (0.190, 0.750, 0.418) and S at (0.350, 0.507, 0.785).

=====

Record 17
The following is a PBE calculation of crystalline TlCuGeS3 at its relaxed geometry, from the Open Quantum Materials Database.

The volume is 21.68 Å³/atom. The value obtained for the electronic total energy is -49.04 eV for the cell shown.

It has space group P2_1/m (No. 11), with a = 7.848 Å, b = 3.731 Å, c = 9.569 Å, α = 90.00°, β = 111.75° and γ = 90.00°. Symmetry generates all atoms from Tl at (0.242, 0.250, 0.206), Cu at (0.436, 0.250, 0.912), Ge at (0.179, 0.750, 0.641), S at (0.050, 0.750, 0.373), S at (0.257, 0.750, 0.915) and S at (0.393, 0.250, 0.658).

=====

Record 18
The following is a PBE calculation of crystalline TlCuGeS3 at its relaxed geometry, from the Open Quantum Materials Database.

The volume is 20.32 Å³/atom. The value obtained for the electronic total energy is -97.13 eV for the cell shown.

It has space group Cmcm (No. 63), with a = 3.589 Å, b = 13.420 Å, c = 10.126 Å, α = 90.00°, β = 90.00° and γ = 90.00°. Symmetry generates all atoms from Tl at (0.000, 0.219, 0.250), Cu at (0.000, 0.092, 0.750), Ge at (0.000, 0.500, 0.000), S at (0.000, 0.127, 0.532) and S at (0.000, 0.474, 0.750).

=====

Record 19
The following is a PBE calculation of crystalline TlCu3GeS4 at its relaxed geometry, from the Open Quantum Materials Database.

The volume is 22.28 Å³/atom. The value obtained for the electronic total energy is -36.02 eV for the cell shown.

It has space group P-43m (No. 215), with a = 5.853 Å, b = 5.853 Å, c = 5.853 Å, α = 90.00°, β = 90.00° and γ = 90.00°. Symmetry generates all atoms from Tl at (0.000, 0.000, 0.000), Cu at (0.000, 0.500, 0.500), Ge at (0.500, 0.500, 0.500) and S at (0.279, 0.279, 0.279).

=====

Record 20
The following is a PBE calculation of crystalline TmCu2GeS4 at its relaxed geometry, from the Open Quantum Materials Database.

The volume is 21.63 Å³/atom. The value obtained for the electronic total energy is -76.99 eV for the cell shown.

It has space group Pmn2_1 (No. 31), with a = 8.009 Å, b = 6.779 Å, c = 6.373 Å, α = 90.00°, β = 90.00° and γ = 90.00°. Symmetry generates all atoms from Tm at (0.000, 0.176, 0.000), Cu at (0.248, 0.320, 0.502), Ge at (0.000, 0.812, 0.501), S at (0.000, 0.162, 0.409), S at (0.000, 0.811, 0.884) and S at (0.240, 0.639, 0.363).